Below is an optimized crystal structure of Ta2SbIr, with properties calculated at the PBE level.

Output
* symmetry: P4/mmm, No. 123
* ρ: 15.53 g cm⁻³
* density of states at the Fermi level: 4.8 states/eV/cell
* formation energy from raw total energies: 0.14 eV/atom

abc: 4.676 4.676 3.306
angles: 90.00 90.00 90.00
Element x y z (fractional)
1 Ta 0.000 0.500 0.000
2 Ta 0.500 0.000 0.000
3 Sb 0.000 0.000 0.500
4 Ir 0.500 0.500 0.500